Entry 1:
Material: AlTe2
Method: DFT, meta-GGA SCAN
State: single point on PBEsol structure

Geometry as extended XYZ:
```
3
Lattice="-1.781 1.781 5.690 1.781 -1.781 5.690 1.781 1.781 -5.690" Properties=species:S:1:pos:R:3 pbc="T T T"
Al 0.000 0.000 0.000
Te 0.000 0.000 4.042
Te 0.000 0.000 7.339
```

## Properties
Formation energy from raw total energies   0.1341 eV/atom


Entry 2:
Material: Ti3AlTe
Method: DFT, meta-GGA SCAN
State: single point on PBEsol structure

Geometry as extended XYZ:
```
5
Lattice="4.674 0.000 0.000 0.000 4.674 0.000 0.000 0.000 4.674" Properties=species:S:1:pos:R:3 pbc="T T T"
Ti 0.000 0.000 2.337
Ti 0.000 2.337 0.000
Ti 2.337 0.000 0.000
Al 0.000 0.000 0.000
Te 2.337 2.337 2.337
```

## Properties
Formation energy from raw total energies   0.5409 eV/atom


Entry 3:
Material: AlTl2Te
Method: DFT, meta-GGA SCAN
State: single point on PBEsol structure

Geometry as extended XYZ:
```
4
Lattice="-2.242 2.242 5.359 2.242 -2.242 5.359 2.242 2.242 -5.359" Properties=species:S:1:pos:R:3 pbc="T T T"
Al 0.000 0.000 0.000
Tl 2.242 0.000 2.679
Tl 0.000 2.242 2.679
Te 0.000 0.000 5.359
```

## Properties
Formation energy from raw total energies   0.1013 eV/atom
Energy above the most stable polymorph in this dataset   0 meV/atom


Entry 4:
Material: AlTl2Te
Method: DFT, meta-GGA SCAN
State: single point on PBEsol structure

Geometry as extended XYZ:
```
4
Lattice="4.614 0.000 0.000 0.000 4.614 0.000 0.000 0.000 5.113" Properties=species:S:1:pos:R:3 pbc="T T T"
Al 0.000 0.000 0.000
Tl 0.000 2.307 2.556
Tl 2.307 0.000 2.556
Te 2.307 2.307 0.000
```

## Properties
Formation energy from raw total energies   0.1123 eV/atom
Energy above the most stable polymorph in this dataset   11 meV/atom


Entry 5:
Material: AlTl2Te
Method: DFT, meta-GGA SCAN
State: single point on PBEsol structure

Geometry as extended XYZ:
```
4
Lattice="-2.311 2.311 5.105 2.311 -2.311 5.105 2.311 2.311 -5.105" Properties=species:S:1:pos:R:3 pbc="T T T"
Al 0.000 0.000 0.000
Tl 2.311 0.000 2.552
Tl 0.000 0.000 5.105
Te 0.000 2.311 2.552
```

## Properties
Formation energy from raw total energies   0.1341 eV/atom
Energy above the most stable polymorph in this dataset   33 meV/atom


Entry 6:
Material: Al2TeW
Method: DFT, meta-GGA SCAN
State: single point on PBEsol structure

Geometry as extended XYZ:
```
4
Lattice="4.592 0.000 0.000 0.000 4.592 0.000 0.000 0.000 3.320" Properties=species:S:1:pos:R:3 pbc="T T T"
Al 0.000 2.296 0.000
Al 2.296 0.000 0.000
Te 0.000 0.000 1.660
W 2.296 2.296 1.660
```

## Properties
Formation energy from raw total energies   0.4933 eV/atom


Entry 7:
Material: Al2TeW
Method: DFT, meta-GGA SCAN
State: single point on PBEsol structure

Geometry as extended XYZ:
```
4
Lattice="3.140 0.000 0.000 0.000 3.140 0.000 0.000 0.000 7.677" Properties=species:S:1:pos:R:3 pbc="T T T"
Al 0.000 0.000 0.000
Al 1.570 1.570 1.750
Te 0.000 0.000 4.404
W 1.570 1.570 6.064
```

## Properties
Formation energy from raw total energies   0.3493 eV/atom


Entry 8:
Material: Al2TeW
Method: DFT, meta-GGA SCAN
State: single point on PBEsol structure

Geometry as extended XYZ:
```
4
Lattice="1.501 0.866 9.521 -1.501 0.866 9.521 0.000 -1.733 9.521" Properties=species:S:1:pos:R:3 pbc="T T T"
Al 0.000 0.000 6.823
Al 0.000 0.000 21.740
Te 0.000 0.000 0.000
W 0.000 0.000 14.282
```

## Properties
Formation energy from raw total energies   0.3492 eV/atom